(1)
DFT (GGA-PBE) results for a relaxed structure of NbMo3As.

Cell: 4.774 4.774 4.774 Å, 90.00 90.00 90.00°
Positions (direct):
Nb  0.000  0.000  0.000
Mo  0.000  0.000  0.500
Mo  0.000  0.500  0.000
Mo  0.500  0.000  0.000
As  0.500  0.500  0.500

Values from the calculation:
Polymorph energy (0 for the lowest one): 0.8603 eV per atom



(2)
DFT (GGA-PBE) results for a relaxed structure of Nb3MoAs.

Cell: 4.836 4.836 4.836 Å, 90.00 90.00 90.00°
Positions (direct):
Nb  0.000  0.000  0.500
Nb  0.000  0.500  0.000
Nb  0.500  0.000  0.000
Mo  0.000  0.000  0.000
As  0.500  0.500  0.500

Values from the calculation:
Polymorph energy (0 for the lowest one): 0.2637 eV per atom



(3)
DFT (GGA-PBE) results for a relaxed structure of NbMo3As.

Cell: 4.575 4.575 4.575 Å, 90.00 90.00 90.00°
Positions (direct):
Nb  0.000  0.000  0.000
Mo  0.000  0.500  0.500
Mo  0.500  0.000  0.500
Mo  0.500  0.500  0.000
As  0.500  0.500  0.500

Values from the calculation:
Polymorph energy (0 for the lowest one): 0.0000 eV per atom



(4)
DFT (GGA-PBE) results for a relaxed structure of Nb2MoAsPd.

Cell: 4.850 4.850 4.747 Å, 90.00 90.00 90.00°
Positions (direct):
Nb  0.000  0.500  0.000
Nb  0.500  0.000  0.000
Mo  0.000  0.000  0.500
As  0.500  0.500  0.500
Pd  0.000  0.000  0.000

Values from the calculation:
E_tot: -6.73 eV per atom



(5)
DFT (GGA-PBE) results for a relaxed structure of NbMoAsSe2.

Cell: 4.912 4.912 4.854 Å, 90.00 90.00 90.00°
Positions (direct):
Nb  0.000  0.000  0.000
Mo  0.500  0.500  0.500
As  0.500  0.500  0.000
Se  0.000  0.500  0.500
Se  0.500  0.000  0.500

Values from the calculation:
Polymorph energy (0 for the lowest one): 0.0352 eV per atom
Formation energy (no corrections): 69.0 kJ/mol of atoms



(6)
DFT (GGA-PBE) results for a relaxed structure of NbMoAsSe2.

Cell: 4.998 4.998 5.055 Å, 90.00 90.00 90.00°
Positions (direct):
Nb  0.000  0.000  0.000
Mo  0.500  0.500  0.500
As  0.000  0.000  0.500
Se  0.000  0.500  0.000
Se  0.500  0.000  0.000

Values from the calculation:
Polymorph energy (0 for the lowest one): 0.0000 eV per atom
Formation energy (no corrections): 65.6 kJ/mol of atoms



(7)
DFT (GGA-PBE) results for a relaxed structure of NbSiMo2As.

Cell: 4.589 4.589 4.699 Å, 90.00 90.00 90.00°
Positions (direct):
Nb  0.000  0.000  0.000
Si  0.500  0.500  0.000
Mo  0.000  0.500  0.500
Mo  0.500  0.000  0.500
As  0.000  0.000  0.500

Values from the calculation:
Formation energy (no corrections): 106.0 kJ/mol of atoms



(8)
DFT (GGA-PBE) results for a relaxed structure of SrNbMoAs2.

Cell: 4.916 4.916 5.492 Å, 90.00 90.00 90.00°
Positions (direct):
Sr  0.000  0.000  0.000
Nb  0.500  0.500  0.000
Mo  0.000  0.000  0.500
As  0.000  0.500  0.500
As  0.500  0.000  0.500

Values from the calculation:
E_tot: -5.41 eV per atom



(9)
DFT (GGA-PBE) results for a relaxed structure of Nb2TcMoAs.

Cell: 4.703 4.703 4.451 Å, 90.00 90.00 90.00°
Positions (direct):
Nb  0.000  0.500  0.000
Nb  0.500  0.000  0.000
Tc  0.000  0.000  0.500
Mo  0.500  0.500  0.500
As  0.000  0.000  0.000

Values from the calculation:
E_tot: -8.18 eV per atom



(10)
DFT (GGA-PBE) results for a relaxed structure of NbTeMo2As.

Cell: 4.612 4.612 5.229 Å, 90.00 90.00 90.00°
Positions (direct):
Nb  0.000  0.000  0.000
Te  0.500  0.500  0.000
Mo  0.000  0.500  0.500
Mo  0.500  0.000  0.500
As  0.500  0.500  0.500

Values from the calculation:
Formation energy (no corrections): 142.1 kJ/mol of atoms



(11)
DFT (GGA-PBE) results for a relaxed structure of YNbMo2As.

Cell: 4.694 4.694 5.571 Å, 90.00 90.00 90.00°
Positions (direct):
Y  0.000  0.000  0.000
Nb  0.000  0.000  0.500
Mo  0.000  0.500  0.500
Mo  0.500  0.000  0.500
As  0.500  0.500  0.000

Values from the calculation:
Polymorph energy (0 for the lowest one): 0.3898 eV per atom



(12)
DFT (GGA-PBE) results for a relaxed structure of YNbMo2As.

Cell: 4.637 4.637 5.122 Å, 90.00 90.00 90.00°
Positions (direct):
Y  0.000  0.000  0.000
Nb  0.500  0.500  0.000
Mo  0.000  0.500  0.500
Mo  0.500  0.000  0.500
As  0.000  0.000  0.500

Values from the calculation:
Polymorph energy (0 for the lowest one): 0.0000 eV per atom